Entry 1:
{
  "formula": "TlSi2Sb",
  "functional": "PBE-GGA",
  "state": "relaxed",
  "lattice_angstrom": [[3.731, 0.000, 0.000], [0.000, 4.316, 0.062], [0.000, 2.076, 6.171]],
  "species": ["Sb", "Si", "Si", "Tl"],
  "fractional_positions": [[0.500, 0.719, 0.859], [0.000, 0.132, 0.971], [0.500, 0.158, 0.208], [0.000, 0.491, 0.462]],
  "e_above_lowest_polymorph_mev_per_atom": 122.4,
  "raw_formation_energy_ev_per_atom": 0.36,
  "space_group": "No. 6",
  "mass_density_g_cm3": 6.42
}



Entry 2:
{
  "formula": "Tl3SiSb",
  "functional": "PBE-GGA",
  "state": "relaxed",
  "lattice_angstrom": [[-1.453, -0.451, -5.607], [-4.709, -3.070, 1.467], [-3.077, 4.912, 0.402]],
  "species": ["Sb", "Tl", "Tl", "Tl", "Si"],
  "fractional_positions": [[0.000, 0.000, 0.000], [0.000, 0.500, 0.000], [0.000, 0.000, 0.500], [0.500, 0.000, 0.000], [0.500, 0.500, 0.500]],
  "e_above_lowest_polymorph_mev_per_atom": 466.8,
  "raw_formation_energy_ev_per_atom": 0.87,
  "space_group": "No. 221",
  "mass_density_g_cm3": 6.46
}



Entry 3:
{
  "formula": "TlSi2Sb",
  "functional": "PBE-GGA",
  "state": "relaxed",
  "lattice_angstrom": [[-3.626, -0.653, 0.784], [0.949, -1.091, 3.479], [-0.697, 6.586, 2.256]],
  "species": ["Sb", "Si", "Si", "Tl"],
  "fractional_positions": [[0.500, 0.500, 0.750], [0.000, 0.000, 0.926], [0.000, 0.000, 0.574], [0.500, 0.500, 0.250]],
  "e_above_lowest_polymorph_mev_per_atom": 202.2,
  "raw_formation_energy_ev_per_atom": 0.44,
  "space_group": "No. 123",
  "mass_density_g_cm3": 6.39
}



Entry 4:
{
  "formula": "ZrTlSi2Sb",
  "functional": "PBE-GGA",
  "state": "relaxed",
  "lattice_angstrom": [[-1.572, 3.471, -3.451], [2.429, -2.974, -4.098], [-4.360, -2.640, -0.669]],
  "species": ["Sb", "Tl", "Si", "Si", "Zr"],
  "fractional_positions": [[0.500, 0.500, 0.500], [0.000, 0.500, 0.000], [0.000, 0.000, 0.500], [0.500, 0.000, 0.000], [0.000, 0.000, 0.000]],
  "raw_formation_energy_ev_per_atom": 0.81,
  "space_group": "No. 123",
  "mass_density_g_cm3": 5.30
}



Entry 5:
{
  "formula": "Tm6SiSb2",
  "functional": "PBE-GGA",
  "state": "relaxed",
  "lattice_angstrom": [[-5.733, 0.711, 2.228], [2.346, -3.093, 7.024], [2.447, 9.031, 3.160]],
  "species": ["Tm", "Tm", "Tm", "Tm", "Tm", "Tm", "Tm", "Tm", "Tm", "Tm", "Tm", "Tm", "Si", "Si", "Sb", "Sb", "Sb", "Sb"],
  "fractional_positions": [[0.874, 0.968, 0.233], [0.870, 0.675, 0.546], [0.870, 0.686, 0.952], [0.630, 0.186, 0.548], [0.630, 0.175, 0.954], [0.626, 0.468, 0.267], [0.126, 0.032, 0.767], [0.130, 0.325, 0.454], [0.130, 0.314, 0.048], [0.370, 0.814, 0.452], [0.370, 0.825, 0.046], [0.374, 0.532, 0.733], [0.500, 0.500, 0.000], [0.000, 0.000, 0.500], [0.908, 0.385, 0.753], [0.592, 0.885, 0.747], [0.408, 0.115, 0.253], [0.092, 0.615, 0.247]],
  "raw_formation_energy_ev_per_atom": -0.61,
  "space_group": "No. 14",
  "mass_density_g_cm3": 8.70
}



Entry 6:
{
  "formula": "TmSiSb",
  "functional": "PBE-GGA",
  "state": "relaxed",
  "lattice_angstrom": [[3.986, 0.000, 0.000], [0.000, 4.303, 0.000], [0.000, 2.152, 7.982]],
  "species": ["Tm", "Tm", "Sb", "Sb", "Si", "Si"],
  "fractional_positions": [[0.250, 0.904, 0.192], [0.750, 0.096, 0.808], [0.250, 0.252, 0.495], [0.750, 0.748, 0.505], [0.250, 0.546, 0.908], [0.750, 0.454, 0.092]],
  "raw_formation_energy_ev_per_atom": -0.58,
  "space_group": "No. 63",
  "mass_density_g_cm3": 7.73
}



Entry 7:
{
  "formula": "Tm4SiSb",
  "functional": "PBE-GGA",
  "state": "relaxed",
  "lattice_angstrom": [[5.898, 0.000, -1.955], [0.000, 6.229, 0.000], [-0.231, 0.000, 8.535]],
  "species": ["Tm", "Tm", "Tm", "Tm", "Tm", "Tm", "Tm", "Tm", "Si", "Si", "Sb", "Sb"],
  "fractional_positions": [[0.575, 0.250, 0.382], [0.425, 0.750, 0.618], [0.618, 0.250, 0.917], [0.382, 0.750, 0.083], [0.010, 0.001, 0.295], [0.990, 0.501, 0.705], [0.010, 0.499, 0.295], [0.990, 0.999, 0.705], [0.298, 0.250, 0.584], [0.702, 0.750, 0.416], [0.198, 0.250, 0.042], [0.802, 0.750, 0.958]],
  "e_above_lowest_polymorph_mev_per_atom": 0.0,
  "raw_formation_energy_ev_per_atom": -0.63,
  "space_group": "No. 11",
  "mass_density_g_cm3": 8.82
}



Entry 8:
{
  "formula": "Tm2SiSb",
  "functional": "PBE-GGA",
  "state": "relaxed",
  "lattice_angstrom": [[4.093, 0.000, 0.000], [2.046, 3.544, 0.000], [2.046, 1.181, 7.189]],
  "species": ["Sb", "Si", "Tm", "Tm"],
  "fractional_positions": [[0.500, 0.500, 0.500], [0.000, 0.000, 0.000], [0.257, 0.257, 0.229], [0.743, 0.743, 0.771]],
  "raw_formation_energy_ev_per_atom": -0.74,
  "space_group": "No. 166",
  "mass_density_g_cm3": 7.77
}



Entry 9:
{
  "formula": "Tm4SiSb",
  "functional": "PBE-GGA",
  "state": "relaxed",
  "lattice_angstrom": [[5.711, 0.455, 0.000], [-2.343, 6.953, 0.000], [0.000, 0.000, 8.663]],
  "species": ["Tm", "Tm", "Tm", "Tm", "Tm", "Tm", "Tm", "Tm", "Si", "Si", "Sb", "Sb"],
  "fractional_positions": [[0.592, 0.510, 0.750], [0.408, 0.490, 0.250], [0.445, 0.995, 0.750], [0.555, 0.005, 0.250], [0.980, 0.764, 0.051], [0.020, 0.236, 0.551], [0.980, 0.764, 0.449], [0.020, 0.236, 0.949], [0.913, 0.921, 0.750], [0.087, 0.079, 0.250], [0.119, 0.589, 0.750], [0.881, 0.411, 0.250]],
  "e_above_lowest_polymorph_mev_per_atom": 277.2,
  "raw_formation_energy_ev_per_atom": -0.35,
  "space_group": "No. 11",
  "mass_density_g_cm3": 7.76
}



Entry 10:
{
  "formula": "USiSb2",
  "functional": "PBE-GGA",
  "state": "relaxed",
  "lattice_angstrom": [[-2.162, 2.179, -1.708], [-3.146, -1.133, -1.076], [-5.702, 3.147, 7.620]],
  "species": ["Sb", "Sb", "Si", "U"],
  "fractional_positions": [[0.106, 0.106, 0.683], [0.894, 0.894, 0.317], [0.500, 0.500, 0.500], [0.000, 0.000, 0.000]],
  "e_above_lowest_polymorph_mev_per_atom": 621.6,
  "raw_formation_energy_ev_per_atom": 0.57,
  "space_group": "No. 166",
  "mass_density_g_cm3": 8.07
}



Entry 11:
{
  "formula": "USiSb2",
  "functional": "PBE-GGA",
  "state": "relaxed",
  "lattice_angstrom": [[4.592, 0.000, 0.000], [0.000, 4.420, 0.000], [0.000, 0.000, 4.420]],
  "species": ["Sb", "Sb", "Si", "U"],
  "fractional_positions": [[0.000, 0.000, 0.500], [0.000, 0.500, 0.000], [0.500, 0.000, 0.000], [0.500, 0.500, 0.500]],
  "e_above_lowest_polymorph_mev_per_atom": 0.0,
  "raw_formation_energy_ev_per_atom": -0.05,
  "space_group": "No. 123",
  "mass_density_g_cm3": 9.43
}



Entry 12:
{
  "formula": "USi2Sb",
  "functional": "PBE-GGA",
  "state": "relaxed",
  "lattice_angstrom": [[4.085, 0.000, 0.000], [0.000, 4.313, 0.000], [0.000, 0.000, 4.313]],
  "species": ["Sb", "Si", "Si", "U"],
  "fractional_positions": [[0.500, 0.500, 0.500], [0.000, 0.000, 0.500], [0.000, 0.500, 0.000], [0.500, 0.000, 0.000]],
  "raw_formation_energy_ev_per_atom": -0.16,
  "space_group": "No. 123",
  "mass_density_g_cm3": 9.09
}



Entry 13:
{
  "formula": "V4SiSb2",
  "functional": "PBE-GGA",
  "state": "relaxed",
  "lattice_angstrom": [[7.360, 0.000, 0.000], [-5.864, 4.447, 0.000], [-0.748, -2.224, 6.976]],
  "species": ["V", "V", "V", "V", "V", "V", "V", "V", "Si", "Si", "Sb", "Sb", "Sb", "Sb"],
  "fractional_positions": [[0.915, 0.794, 0.710], [0.794, 0.085, 0.879], [0.415, 0.706, 0.121], [0.585, 0.294, 0.879], [0.706, 0.585, 0.290], [0.294, 0.415, 0.710], [0.206, 0.915, 0.121], [0.085, 0.206, 0.290], [0.250, 0.250, 0.000], [0.750, 0.750, 0.000], [0.641, 0.859, 0.500], [0.141, 0.641, 0.782], [0.859, 0.359, 0.218], [0.359, 0.141, 0.500]],
  "raw_formation_energy_ev_per_atom": -0.31,
  "space_group": "No. 140",
  "mass_density_g_cm3": 6.91
}



Entry 14:
{
  "formula": "VSi2Sb4",
  "functional": "PBE-GGA",
  "state": "relaxed",
  "lattice_angstrom": [[-4.261, 0.003, -3.179], [2.753, -2.657, -3.692], [-2.704, -6.970, -0.829]],
  "species": ["Sb", "Sb", "Sb", "Sb", "Si", "Si", "V"],
  "fractional_positions": [[0.792, 0.792, 0.416], [0.208, 0.208, 0.584], [0.000, 0.500, 0.000], [0.500, 0.000, 0.000], [0.596, 0.596, 0.808], [0.404, 0.404, 0.192], [0.000, 0.000, 0.000]],
  "raw_formation_energy_ev_per_atom": 0.55,
  "space_group": "No. 139",
  "mass_density_g_cm3": 5.36
}



Entry 15:
{
  "formula": "SiSb2W",
  "functional": "PBE-GGA",
  "state": "relaxed",
  "lattice_angstrom": [[-0.629, -0.885, -3.123], [-2.274, -2.149, 1.067], [-5.189, 5.268, -0.448]],
  "species": ["Sb", "Sb", "Si", "W"],
  "fractional_positions": [[0.000, 0.000, 0.976], [0.000, 0.000, 0.524], [0.500, 0.500, 0.250], [0.500, 0.500, 0.750]],
  "raw_formation_energy_ev_per_atom": 0.56,
  "space_group": "No. 123",
  "mass_density_g_cm3": 9.34
}



Entry 16:
{
  "formula": "SiSbW3",
  "functional": "PBE-GGA",
  "state": "relaxed",
  "lattice_angstrom": [[4.881, 0.000, 0.000], [0.000, 4.881, 0.000], [0.000, 0.000, 4.881]],
  "species": ["Sb", "Si", "W", "W", "W"],
  "fractional_positions": [[0.000, 0.000, 0.000], [0.500, 0.500, 0.500], [0.000, 0.500, 0.000], [0.000, 0.000, 0.500], [0.500, 0.000, 0.000]],
  "e_above_lowest_polymorph_mev_per_atom": 1476.9,
  "raw_formation_energy_ev_per_atom": 2.79,
  "space_group": "No. 221",
  "mass_density_g_cm3": 10.01
}



Entry 17:
{
  "formula": "SiSb2W",
  "functional": "PBE-GGA",
  "state": "relaxed",
  "lattice_angstrom": [[-9.337, -0.337, 1.314], [-8.716, -3.504, 0.873], [-8.350, -2.167, 3.820]],
  "species": ["Sb", "Sb", "Si", "W"],
  "fractional_positions": [[0.008, 0.008, 0.008], [0.492, 0.492, 0.492], [0.250, 0.250, 0.250], [0.750, 0.750, 0.750]],
  "raw_formation_energy_ev_per_atom": 0.59,
  "space_group": "No. 166",
  "mass_density_g_cm3": 8.91
}



Entry 18:
{
  "formula": "Si3SbW",
  "functional": "PBE-GGA",
  "state": "relaxed",
  "lattice_angstrom": [[-2.525, -2.973, -3.011], [4.136, -2.475, -1.025], [-0.894, -3.053, 3.764]],
  "species": ["Sb", "Si", "Si", "Si", "W"],
  "fractional_positions": [[0.000, 0.000, 0.000], [0.000, 0.500, 0.000], [0.000, 0.000, 0.500], [0.500, 0.000, 0.000], [0.500, 0.500, 0.500]],
  "raw_formation_energy_ev_per_atom": 2.31,
  "space_group": "No. 221",
  "mass_density_g_cm3": 5.41
}



Entry 19:
{
  "formula": "SiSb2W",
  "functional": "PBE-GGA",
  "state": "relaxed",
  "lattice_angstrom": [[9.737, -0.039, -0.023], [9.223, 3.122, -0.023], [9.223, 1.500, 2.739]],
  "species": ["Sb", "Sb", "Si", "W"],
  "fractional_positions": [[0.018, 0.018, 0.018], [0.235, 0.235, 0.235], [0.488, 0.488, 0.488], [0.759, 0.759, 0.759]],
  "raw_formation_energy_ev_per_atom": 0.33,
  "space_group": "No. 160",
  "mass_density_g_cm3": 8.91
}



Entry 20:
{
  "formula": "SiSb2W",
  "functional": "PBE-GGA",
  "state": "relaxed",
  "lattice_angstrom": [[6.269, 0.000, 0.000], [0.000, 6.269, 0.000], [3.134, 3.134, 5.942]],
  "species": ["Sb", "Sb", "Sb", "Sb", "Si", "Si", "W", "W"],
  "fractional_positions": [[0.624, 0.125, 0.250], [0.126, 0.625, 0.250], [0.375, 0.376, 0.750], [0.875, 0.874, 0.750], [0.500, 0.500, 0.000], [0.250, 0.750, 0.500], [0.000, 0.000, 0.000], [0.750, 0.250, 0.500]],
  "raw_formation_energy_ev_per_atom": 0.93,
  "space_group": "No. 122",
  "mass_density_g_cm3": 6.48
}



Entry 21:
{
  "formula": "SiSb2W",
  "functional": "PBE-GGA",
  "state": "relaxed",
  "lattice_angstrom": [[5.330, 0.013, 0.000], [1.916, 4.973, 0.000], [-3.623, -2.493, 3.011]],
  "species": ["Sb", "Sb", "Si", "W"],
  "fractional_positions": [[0.000, 0.000, 0.000], [0.250, 0.750, 0.500], [0.500, 0.500, 0.000], [0.750, 0.250, 0.500]],
  "raw_formation_energy_ev_per_atom": 0.90,
  "space_group": "No. 119",
  "mass_density_g_cm3": 9.48
}



Entry 22:
{
  "formula": "SiSb2W",
  "functional": "PBE-GGA",
  "state": "relaxed",
  "lattice_angstrom": [[-0.262, -0.613, 3.207], [1.174, -3.020, -0.481], [7.629, 2.782, 1.154]],
  "species": ["Sb", "Sb", "Si", "W"],
  "fractional_positions": [[0.000, 0.000, 0.921], [0.500, 0.500, 0.333], [0.000, 0.000, 0.558], [0.500, 0.500, 0.688]],
  "raw_formation_energy_ev_per_atom": 0.15,
  "space_group": "No. 99",
  "mass_density_g_cm3": 8.59
}



Entry 23:
{
  "formula": "SiSbW4",
  "functional": "PBE-GGA",
  "state": "relaxed",
  "lattice_angstrom": [[0.000, 3.774, 3.774], [3.774, 0.000, 3.774], [3.774, 3.774, 0.000]],
  "species": ["Si", "Sb", "W", "W", "W", "W"],
  "fractional_positions": [[0.000, 0.000, 0.000], [0.750, 0.750, 0.750], [0.876, 0.375, 0.375], [0.375, 0.375, 0.876], [0.375, 0.876, 0.375], [0.375, 0.375, 0.375]],
  "raw_formation_energy_ev_per_atom": 0.77,
  "space_group": "No. 216",
  "mass_density_g_cm3": 13.67
}



Entry 24:
{
  "formula": "SiSb2W",
  "functional": "PBE-GGA",
  "state": "relaxed",
  "lattice_angstrom": [[-0.526, 3.177, 1.111], [-3.984, -1.598, 2.682], [-0.209, -1.972, 5.540]],
  "species": ["Sb", "Sb", "Si", "W"],
  "fractional_positions": [[0.000, 0.000, 0.000], [0.500, 0.500, 0.000], [0.500, 0.500, 0.500], [0.000, 0.000, 0.500]],
  "raw_formation_energy_ev_per_atom": 0.83,
  "space_group": "No. 10",
  "mass_density_g_cm3": 9.62
}



Entry 25:
{
  "formula": "SiSb2W",
  "functional": "PBE-GGA",
  "state": "relaxed",
  "lattice_angstrom": [[-3.262, 3.336, 1.415], [0.984, -5.951, 3.409], [1.407, 0.062, 3.082]],
  "species": ["Sb", "Sb", "Si", "W"],
  "fractional_positions": [[0.000, 0.000, 0.000], [0.000, 0.500, 0.500], [0.500, 0.500, 0.000], [0.500, 0.000, 0.500]],
  "raw_formation_energy_ev_per_atom": 0.78,
  "space_group": "No. 65",
  "mass_density_g_cm3": 9.66
}



Entry 26:
{
  "formula": "SiSbW3",
  "functional": "PBE-GGA",
  "state": "relaxed",
  "lattice_angstrom": [[4.550, 0.000, 0.000], [0.000, 4.550, 0.000], [0.000, 0.000, 4.550]],
  "species": ["Sb", "Si", "W", "W", "W"],
  "fractional_positions": [[0.500, 0.500, 0.500], [0.000, 0.000, 0.000], [0.000, 0.500, 0.000], [0.000, 0.000, 0.500], [0.500, 0.000, 0.000]],
  "e_above_lowest_polymorph_mev_per_atom": 0.0,
  "raw_formation_energy_ev_per_atom": 1.32,
  "space_group": "No. 221",
  "mass_density_g_cm3": 12.36
}



Entry 27:
{
  "formula": "SiSb2W",
  "functional": "PBE-GGA",
  "state": "relaxed",
  "lattice_angstrom": [[4.588, -0.003, -0.012], [3.297, 3.190, -0.012], [0.944, 0.381, 6.222]],
  "species": ["Sb", "Sb", "Si", "W"],
  "fractional_positions": [[0.029, 0.029, 0.932], [0.251, 0.251, 0.312], [0.469, 0.469, 0.599], [0.752, 0.752, 0.657]],
  "raw_formation_energy_ev_per_atom": 0.28,
  "space_group": "No. 8",
  "mass_density_g_cm3": 8.30
}